#P
## AlAs2SeCl (PBE-GGA)

Data for AlAs2SeCl after structural relaxation.

a = 4.948 Å, b = 4.948 Å, c = 4.779 Å
α = 90.00°, β = 90.00°, γ = 90.00°
Space group P4/mmm (No. 123)
Unique sites:
Al: 0.000 0.000 0.000 x1
As: 0.000 0.500 0.000 x2
Se: 0.000 0.000 0.500 x1
Cl: 0.500 0.500 0.500 x1

## Properties
ρ: 4.13 g/cm3

---

#Q
## AlAs2SeCl (PBE-GGA)

Data for AlAs2SeCl after structural relaxation.

a = 4.864 Å, b = 4.864 Å, c = 5.247 Å
α = 90.00°, β = 90.00°, γ = 90.00°
Space group P4/mmm (No. 123)
Unique sites:
Al: 0.000 0.000 0.000 x1
As: 0.000 0.500 0.500 x2
Se: 0.500 0.500 0.000 x1
Cl: 0.500 0.500 0.500 x1

## Properties
ρ: 3.90 g/cm3

---

The winner here is #P, beating the second structure by 0.603 eV/atom.